DFT (PBE) results for crystalline SrTcBi at its relaxed geometry. Values from VASP.

```
&SYSTEM
  ibrav = 0, nat = 3, ntyp = 3
/
ATOMIC_SPECIES
Sr 87.62 Sr.upf
Tc 98.00 Tc.upf
Bi 208.98 Bi.upf
CELL_PARAMETERS angstrom
0.000 3.451 3.451
3.451 0.000 3.451
3.451 3.451 0.000
ATOMIC_POSITIONS crystal
Sr 0.000 0.000 0.000
Tc 0.750 0.750 0.750
Bi 0.500 0.500 0.500
```

Results
* raw total energy: -14.648 eV for the cell shown
* V: 82.21 Å³/cell
* total magnetization: 0.1 μB per formula unit